[1]
Tb3Mg11 PBE optimized geometry; formation energy = -0.015 eV per atom; DOS(E_F) = 10.87 states/eV/cell; total moment = 0.00 μB/f.u.; SG = No. 71
1.0
-2.495 5.654 6.337
2.495 -5.654 6.337
2.495 5.654 -6.337
Tb Mg
3 11
Direct
0.000 0.000 0.000 Tb
0.281 0.281 0.000 Tb
0.719 0.719 0.000 Tb
0.005 0.633 0.372 Mg
0.128 0.855 0.273 Mg
0.261 0.633 0.628 Mg
0.345 0.500 0.845 Mg
0.418 0.145 0.273 Mg
0.500 0.000 0.500 Mg
0.582 0.855 0.727 Mg
0.655 0.500 0.155 Mg
0.739 0.367 0.372 Mg
0.872 0.145 0.727 Mg
0.995 0.367 0.628 Mg


[2]
CrPb3N PBE optimized geometry; formation energy without anion corrections = 1.224 eV/atom; DOS(E_F) = 3.09 states/eV/cell; energy relative to the lowest polymorph listed for this composition = 0.000 eV per atom; total moment = 3.00 μB/f.u.; SG = No. 221
1.0
5.177 0.000 0.000
0.000 5.177 0.000
0.000 0.000 5.177
Cr Pb N
1 3 1
Direct
0.000 0.000 0.000 Cr
0.000 0.000 0.500 Pb
0.000 0.500 0.000 Pb
0.500 0.000 0.000 Pb
0.500 0.500 0.500 N


> total moment of number 2 (CrPb3N)?

3.00 μB/f.u.


> Which of these has the lowest DOS(E_F)?

CrPb3N


What did the first record say?
Tb3Mg11 PBE optimized geometry; formation energy = -0.015 eV per atom; DOS(E_F) = 10.87 states/eV/cell; total moment = 0.00 μB/f.u.; SG = No. 71
1.0
-2.495 5.654 6.337
2.495 -5.654 6.337
2.495 5.654 -6.337
Tb Mg
3 11
Direct
0.000 0.000 0.000 Tb
0.281 0.281 0.000 Tb
0.719 0.719 0.000 Tb
0.005 0.633 0.372 Mg
0.128 0.855 0.273 Mg
0.261 0.633 0.628 Mg
0.345 0.500 0.845 Mg
0.418 0.145 0.273 Mg
0.500 0.000 0.500 Mg
0.582 0.855 0.727 Mg
0.655 0.500 0.155 Mg
0.739 0.367 0.372 Mg
0.872 0.145 0.727 Mg
0.995 0.367 0.628 Mg


> Number 2 is which compound?

CrPb3N